P:
CrPS2N after structural relaxation. Source: the Alexandria database, functional GGA-PBEsol.

a b c (Å): 3.972 3.972 4.099
angles (deg): 90.00 90.00 90.00
Positions (direct):
Cr 0.000 0.000 0.000
P 0.500 0.500 0.000
S 0.000 0.500 0.500
S 0.500 0.000 0.500
N 0.500 0.500 0.500

Results
space group: P4/mmm
magnetic moment: 2.72 μB per formula unit



Q:
CrPS2N after structural relaxation. Source: the Alexandria database, functional GGA-PBEsol.

a b c (Å): 4.261 4.261 4.570
angles (deg): 90.00 90.00 90.00
Positions (direct):
Cr 0.000 0.000 0.000
P 0.000 0.000 0.500
S 0.000 0.500 0.000
S 0.500 0.000 0.000
N 0.500 0.500 0.500

Results
space group: P4/mmm
magnetic moment: 1.58 μB per formula unit



Most stable: P. Least stable: Q.



P:
Cr3TcN after structural relaxation. Source: the Alexandria database, functional GGA-PBEsol.

a b c (Å): 4.551 4.551 4.551
angles (deg): 90.00 90.00 90.00
Positions (direct):
Cr 0.000 0.000 0.500
Cr 0.000 0.500 0.000
Cr 0.500 0.000 0.000
Tc 0.000 0.000 0.000
N 0.500 0.500 0.500

Results
space group: Pm-3m
magnetic moment: 8.27 μB per formula unit



Q:
Cr3TcN after structural relaxation. Source: the Alexandria database, functional GGA-PBEsol.

a b c (Å): 3.770 3.770 3.770
angles (deg): 90.00 90.00 90.00
Positions (direct):
Cr 0.000 0.000 0.500
Cr 0.000 0.500 0.000
Cr 0.500 0.000 0.000
Tc 0.500 0.500 0.500
N 0.000 0.000 0.000

Results
space group: Pm-3m
magnetic moment: 0.00 μB per formula unit



Most stable: Q. Least stable: P.